First-principles (PBE-GGA) data for Na5Dy3Cl12 after structural relaxation, as listed in the Alexandria database.

Results
SG: Ia-3d (230)
Total DFT energy (no corrections) (eV/atom): -3.88
Density of states at the Fermi level (states/eV/cell): 30.9

Lattice parameters (Å, degrees): 13.8799 13.8799 13.8799 109.47 109.47 109.47
Element x y z (fractional)
Na  0.0000  0.0000  0.0000
Na  0.0000  0.0000  0.5000
Na  0.0000  0.5000  0.0000
Na  0.0000  0.5000  0.5000
Na  0.1250  0.7500  0.8750
Na  0.1250  0.8750  0.2500
Na  0.2500  0.1250  0.8750
Na  0.2500  0.6250  0.3750
Na  0.3750  0.2500  0.6250
Na  0.3750  0.6250  0.7500
Na  0.5000  0.0000  0.0000
Na  0.5000  0.0000  0.5000
Na  0.5000  0.5000  0.0000
Na  0.5000  0.5000  0.5000
Na  0.6250  0.3750  0.2500
Na  0.6250  0.7500  0.3750
Na  0.7500  0.3750  0.6250
Na  0.7500  0.8750  0.1250
Na  0.8750  0.1250  0.7500
Na  0.8750  0.2500  0.1250
Dy  0.1250  0.2500  0.3750
Dy  0.1250  0.3750  0.7500
Dy  0.2500  0.3750  0.1250
Dy  0.2500  0.8750  0.6250
Dy  0.3750  0.1250  0.2500
Dy  0.3750  0.7500  0.1250
Dy  0.6250  0.2500  0.8750
Dy  0.6250  0.8750  0.7500
Dy  0.7500  0.1250  0.3750
Dy  0.7500  0.6250  0.8750
Dy  0.8750  0.6250  0.2500
Dy  0.8750  0.7500  0.6250
Cl  0.0530  0.2269  0.1341
Cl  0.0530  0.3262  0.9189
Cl  0.0811  0.6341  0.4073
Cl  0.0811  0.9470  0.6738
Cl  0.0927  0.7269  0.6738
Cl  0.0927  0.8659  0.4189
Cl  0.1341  0.0530  0.2269
Cl  0.1341  0.5811  0.9073
Cl  0.1738  0.2269  0.5927
Cl  0.1738  0.4470  0.5811
Cl  0.2269  0.1341  0.0530
Cl  0.2269  0.5927  0.1738
Cl  0.2731  0.3262  0.9073
Cl  0.2731  0.4470  0.3659
Cl  0.3262  0.9073  0.2731
Cl  0.3262  0.9189  0.0530
Cl  0.3659  0.2731  0.4470
Cl  0.3659  0.5927  0.9189
Cl  0.4073  0.0811  0.6341
Cl  0.4073  0.8262  0.7731
Cl  0.4189  0.0927  0.8659
Cl  0.4189  0.8262  0.5530
Cl  0.4470  0.3659  0.2731
Cl  0.4470  0.5811  0.1738
Cl  0.5530  0.4189  0.8262
Cl  0.5530  0.6341  0.7269
Cl  0.5811  0.1738  0.4470
Cl  0.5811  0.9073  0.1341
Cl  0.5927  0.1738  0.2269
Cl  0.5927  0.9189  0.3659
Cl  0.6341  0.4073  0.0811
Cl  0.6341  0.7269  0.5530
Cl  0.6738  0.0811  0.9470
Cl  0.6738  0.0927  0.7269
Cl  0.7269  0.5530  0.6341
Cl  0.7269  0.6738  0.0927
Cl  0.7731  0.4073  0.8262
Cl  0.7731  0.8659  0.9470
Cl  0.8262  0.5530  0.4189
Cl  0.8262  0.7731  0.4073
Cl  0.8659  0.4189  0.0927
Cl  0.8659  0.9470  0.7731
Cl  0.9073  0.1341  0.5811
Cl  0.9073  0.2731  0.3262
Cl  0.9189  0.0530  0.3262
Cl  0.9189  0.3659  0.5927
Cl  0.9470  0.6738  0.0811
Cl  0.9470  0.7731  0.8659



First-principles (PBE-GGA) data for Ti6Al3Mo after structural relaxation, as listed in the Alexandria database.

Results
SG: P2_1/m (11)
Formation energy (eV/atom): -0.30
Density of states at the Fermi level (states/eV/cell): 21.5

Lattice parameters (Å, degrees): 7.6735 4.6109 9.8439 90.00 109.71 90.00
Element x y z (fractional)
Ti  0.0436  0.2500  0.4169
Ti  0.1649  0.7500  0.1794
Ti  0.2633  0.2500  0.0125
Ti  0.3546  0.2500  0.3238
Ti  0.3553  0.7500  0.7946
Ti  0.4231  0.2500  0.6172
Ti  0.5769  0.7500  0.3828
Ti  0.6447  0.2500  0.2054
Ti  0.6454  0.7500  0.6762
Ti  0.7367  0.7500  0.9875
Ti  0.8351  0.2500  0.8206
Ti  0.9564  0.7500  0.5831
Al  0.0479  0.7500  0.8827
Al  0.1334  0.2500  0.7193
Al  0.2664  0.7500  0.4762
Al  0.7336  0.2500  0.5238
Al  0.8666  0.7500  0.2807
Al  0.9521  0.2500  0.1173
Mo  0.4529  0.7500  0.0993
Mo  0.5471  0.2500  0.9007



First-principles (PBE-GGA) data for Nd3BiRh after structural relaxation, as listed in the Alexandria database.

Results
SG: P2_1/m (11)
Formation energy (eV/atom): -0.65
ΔE to the lowest computed polymorph (eV per atom): 0.0000
Density of states at the Fermi level (states/eV/cell): 9.2

Lattice parameters (Å, degrees): 8.1314 4.6146 8.7620 90.00 114.35 90.00
Element x y z (fractional)
Nd  0.0420  0.2500  0.2450
Nd  0.3288  0.7500  0.5919
Nd  0.3311  0.2500  0.9246
Nd  0.6689  0.7500  0.0754
Nd  0.6712  0.2500  0.4081
Nd  0.9580  0.7500  0.7550
Bi  0.3232  0.7500  0.2001
Bi  0.6768  0.2500  0.7999
Rh  0.0794  0.2500  0.6010
Rh  0.9206  0.7500  0.3990



First-principles (PBE-GGA) data for LaAgN2F after structural relaxation, as listed in the Alexandria database.

Results
SG: P4/mmm (123)
ΔE to the lowest computed polymorph (eV per atom): 0.0000
Density of states at the Fermi level (states/eV/cell): 2.3

Lattice parameters (Å, degrees): 4.0968 4.0968 4.3607 90.00 90.00 90.00
Element x y z (fractional)
La  0.0000  0.0000  0.0000
Ag  0.5000  0.5000  0.5000
N  0.0000  0.5000  0.5000
N  0.5000  0.0000  0.5000
F  0.5000  0.5000  0.0000



First-principles (PBE-GGA) data for In3RuN after structural relaxation, as listed in the Alexandria database.

Results
SG: Pm-3m (221)
ΔE to the lowest computed polymorph (eV per atom): 0.0000
Density of states at the Fermi level (states/eV/cell): 2.9

Lattice parameters (Å, degrees): 4.5092 4.5092 4.5092 90.00 90.00 90.00
Element x y z (fractional)
In  0.0000  0.0000  0.5000
In  0.0000  0.5000  0.0000
In  0.5000  0.0000  0.0000
Ru  0.5000  0.5000  0.5000
N  0.0000  0.0000  0.0000



First-principles (PBE-GGA) data for Pm3SnTe2 after structural relaxation, as listed in the Alexandria database.

Results
SG: C2/c (15)
ΔE to the lowest computed polymorph (eV per atom): 0.0000
Density of states at the Fermi level (states/eV/cell): 3.2

Lattice parameters (Å, degrees): 7.7799 7.7799 7.7662 99.67 99.67 119.94
Element x y z (fractional)
Pm  0.0000  0.5000  0.0000
Pm  0.1595  0.3190  0.4989
Pm  0.3190  0.1595  0.9989
Pm  0.5000  0.0000  0.5000
Pm  0.6810  0.8405  0.0011
Pm  0.8405  0.6810  0.5011
Sn  0.0861  0.9139  0.2500
Sn  0.9139  0.0861  0.7500
Te  0.2528  0.7472  0.7500
Te  0.4172  0.5828  0.2500
Te  0.5828  0.4172  0.7500
Te  0.7472  0.2528  0.2500



First-principles (PBE-GGA) data for ScRe2Se2 after structural relaxation, as listed in the Alexandria database.

Results
SG: P4/mbm (127)
ΔE to the lowest computed polymorph (eV per atom): 0.1473
Density of states at the Fermi level (states/eV/cell): 8.3

Lattice parameters (Å, degrees): 7.3655 7.3655 3.0815 90.00 90.00 90.00
Element x y z (fractional)
Sc  0.0000  0.0000  0.0000
Sc  0.5000  0.5000  0.0000
Re  0.1401  0.3599  0.5000
Re  0.3599  0.8599  0.5000
Re  0.6401  0.1401  0.5000
Re  0.8599  0.6401  0.5000
Se  0.1627  0.6627  0.0000
Se  0.3373  0.1627  0.0000
Se  0.6627  0.8373  0.0000
Se  0.8373  0.3373  0.0000



First-principles (PBE-GGA) data for TlGa2FePb after structural relaxation, as listed in the Alexandria database.

Results
SG: P4/mmm (123)
Formation energy (eV/atom): 0.12
Density of states at the Fermi level (states/eV/cell): 2.2

Lattice parameters (Å, degrees): 4.7387 4.7387 5.1454 90.00 90.00 90.00
Element x y z (fractional)
Tl  0.0000  0.0000  0.0000
Ga  0.0000  0.5000  0.5000
Ga  0.5000  0.0000  0.5000
Fe  0.5000  0.5000  0.5000
Pb  0.5000  0.5000  0.0000



First-principles (PBE-GGA) data for Ce3AlCo2Ge6 after structural relaxation, as listed in the Alexandria database.

Results
SG: P-3m1 (164)
Formation energy (eV/atom): -0.22
Density of states at the Fermi level (states/eV/cell): 12.4

Lattice parameters (Å, degrees): 6.3836 6.3836 6.8869 90.00 90.00 120.00
Element x y z (fractional)
Ce  0.0000  0.0000  0.0000
Ce  0.3333  0.6667  0.7085
Ce  0.6667  0.3333  0.2915
Al  0.0000  0.0000  0.5000
Co  0.3333  0.6667  0.0150
Co  0.6667  0.3333  0.9850
Ge  0.1956  0.3913  0.2975
Ge  0.1956  0.8044  0.2975
Ge  0.3913  0.1956  0.7025
Ge  0.6087  0.8044  0.2975
Ge  0.8044  0.1956  0.7025
Ge  0.8044  0.6087  0.7025



First-principles (PBE-GGA) data for TaB3Ru after structural relaxation, as listed in the Alexandria database.

Results
SG: Pm-3m (221)
Formation energy (eV/atom): 1.09
ΔE to the lowest computed polymorph (eV per atom): 0.0000
Density of states at the Fermi level (states/eV/cell): 5.8

Lattice parameters (Å, degrees): 3.9380 3.9380 3.9380 90.00 90.00 90.00
Element x y z (fractional)
Ta  0.0000  0.0000  0.0000
B  0.0000  0.5000  0.5000
B  0.5000  0.0000  0.5000
B  0.5000  0.5000  0.0000
Ru  0.5000  0.5000  0.5000



First-principles (PBE-GGA) data for Nd2CdSe after structural relaxation, as listed in the Alexandria database.

Results
SG: P4/mmm (123)
ΔE to the lowest computed polymorph (eV per atom): 0.1340
Density of states at the Fermi level (states/eV/cell): 3.6

Lattice parameters (Å, degrees): 3.7626 3.7626 7.4906 90.00 90.00 90.00
Element x y z (fractional)
Nd  0.0000  0.0000  0.2366
Nd  0.0000  0.0000  0.7634
Cd  0.5000  0.5000  0.5000
Se  0.5000  0.5000  0.0000



First-principles (PBE-GGA) data for Pm3Mg5Ir2 after structural relaxation, as listed in the Alexandria database.

Results
SG: Ibam (72)
Formation energy (eV/atom): -0.25
Density of states at the Fermi level (states/eV/cell): 11.9

Lattice parameters (Å, degrees): 9.4261 9.4261 9.4261 99.31 93.39 141.17
Element x y z (fractional)
Pm  0.1663  0.2444  0.4107
Pm  0.2500  0.2500  0.0000
Pm  0.3337  0.7444  0.0781
Pm  0.6663  0.2556  0.9219
Pm  0.7500  0.7500  0.0000
Pm  0.8337  0.7556  0.5893
Mg  0.0164  0.7500  0.2664
Mg  0.0785  0.6778  0.7563
Mg  0.2500  0.7500  0.5000
Mg  0.4215  0.1778  0.5993
Mg  0.4836  0.7500  0.7336
Mg  0.5164  0.2500  0.2664
Mg  0.5785  0.8222  0.4007
Mg  0.7500  0.2500  0.5000
Mg  0.9215  0.3222  0.2437
Mg  0.9836  0.2500  0.7336
Ir  0.1524  0.8705  0.0229
Ir  0.3476  0.3705  0.7181
Ir  0.6524  0.6295  0.2819
Ir  0.8476  0.1295  0.9771



First-principles (PBE-GGA) data for PrAsH2Ir after structural relaxation, as listed in the Alexandria database.

Results
SG: Cmcm (63)
Total DFT energy (no corrections) (eV/atom): -5.59
Density of states at the Fermi level (states/eV/cell): 4.1

Lattice parameters (Å, degrees): 5.5325 5.5325 6.9033 90.00 90.00 138.56
Element x y z (fractional)
Pr  0.2185  0.7815  0.7500
Pr  0.7815  0.2185  0.2500
As  0.0594  0.9406  0.2500
As  0.9406  0.0594  0.7500
H  0.3383  0.6617  0.0548
H  0.3383  0.6617  0.4452
H  0.6617  0.3383  0.5548
H  0.6617  0.3383  0.9452
Ir  0.5000  0.5000  0.0000
Ir  0.5000  0.5000  0.5000



First-principles (PBE-GGA) data for La3Y2Th2 after structural relaxation, as listed in the Alexandria database.

Results
SG: P2/m (10)
Formation energy (eV/atom): 0.16
ΔE to the lowest computed polymorph (eV per atom): 0.0362
Density of states at the Fermi level (states/eV/cell): 9.6

Lattice parameters (Å, degrees): 5.6679 3.4795 12.5038 90.00 103.05 90.00
Element x y z (fractional)
La  0.0000  0.0000  0.0000
La  0.2916  0.0000  0.5829
La  0.7084  0.0000  0.4171
Y  0.4247  0.5000  0.8503
Y  0.5753  0.5000  0.1497
Th  0.1429  0.0000  0.2846
Th  0.8571  0.0000  0.7154



First-principles (PBE-GGA) data for Ca2AcMgIn2 after structural relaxation, as listed in the Alexandria database.

Results
SG: I4/mmm (139)
Formation energy (eV/atom): 0.11
Density of states at the Fermi level (states/eV/cell): 5.6

Lattice parameters (Å, degrees): 9.9112 9.9112 9.9112 150.94 150.94 41.57
Element x y z (fractional)
Ca  0.2500  0.7500  0.5000
Ca  0.7500  0.2500  0.5000
Ac  0.0000  0.0000  0.0000
Mg  0.5000  0.5000  0.0000
In  0.3587  0.3587  0.0000
In  0.6413  0.6413  0.0000



First-principles (PBE-GGA) data for NaPm2Np3Se6 after structural relaxation, as listed in the Alexandria database.

Results
SG: C2/m (12)
Total DFT energy (no corrections) (eV/atom): -7.26
Density of states at the Fermi level (states/eV/cell): 29.8

Lattice parameters (Å, degrees): 9.3018 9.3018 8.3365 102.94 102.94 25.72
Element x y z (fractional)
Na  0.0000  0.0000  0.0000
Pm  0.3320  0.3320  0.6637
Pm  0.6680  0.6680  0.3363
Np  0.0000  0.0000  0.5000
Np  0.3332  0.3332  0.1668
Np  0.6668  0.6668  0.8332
Se  0.1640  0.1640  0.5882
Se  0.1670  0.1670  0.0793
Se  0.4989  0.4989  0.2536
Se  0.5011  0.5011  0.7464
Se  0.8330  0.8330  0.9207
Se  0.8360  0.8360  0.4118



First-principles (PBE-GGA) data for Pr2ScV after structural relaxation, as listed in the Alexandria database.

Results
SG: R-3m (166)
Formation energy (eV/atom): 0.65
Density of states at the Fermi level (states/eV/cell): 6.8

Lattice parameters (Å, degrees): 11.5976 11.5976 11.5976 16.77 16.77 16.77
Element x y z (fractional)
Pr  0.0832  0.0832  0.0832
Pr  0.9168  0.9168  0.9168
Sc  0.5000  0.5000  0.5000
V  0.0000  0.0000  0.0000



First-principles (PBE-GGA) data for SrCe2PaAs4 after structural relaxation, as listed in the Alexandria database.

Results
SG: I-4m2 (119)
Formation energy (eV/atom): -1.23
Density of states at the Fermi level (states/eV/cell): 14.5

Lattice parameters (Å, degrees): 7.3441 7.3441 7.3441 131.89 131.89 70.41
Element x y z (fractional)
Sr  0.0000  0.0000  0.0000
Ce  0.5000  0.5000  0.0000
Ce  0.7500  0.2500  0.5000
Pa  0.2500  0.7500  0.5000
As  0.0096  0.5096  0.5000
As  0.2565  0.2565  0.0000
As  0.4904  0.9904  0.5000
As  0.7435  0.7435  0.0000



First-principles (PBE-GGA) data for Na3Ag2PtO6 after structural relaxation, as listed in the Alexandria database.

Results
SG: C2/m (12)
Total DFT energy (no corrections) (eV/atom): -4.54
Density of states at the Fermi level (states/eV/cell): 9.2

Lattice parameters (Å, degrees): 5.6720 5.6720 5.8496 103.03 103.03 115.65
Element x y z (fractional)
Na  0.0000  0.0000  0.0000
Na  0.3274  0.6726  0.0000
Na  0.6726  0.3274  0.0000
Ag  0.1725  0.8275  0.5000
Ag  0.8275  0.1725  0.5000
Pt  0.5000  0.5000  0.5000
O  0.1405  0.4510  0.2652
O  0.2651  0.2651  0.6685
O  0.4510  0.1405  0.2652
O  0.5490  0.8595  0.7348
O  0.7349  0.7349  0.3315
O  0.8595  0.5490  0.7348



First-principles (PBE-GGA) data for ZrCr2InGe after structural relaxation, as listed in the Alexandria database.

Results
SG: P4/mmm (123)
Formation energy (eV/atom): 0.82
Density of states at the Fermi level (states/eV/cell): 4.7

Lattice parameters (Å, degrees): 4.5743 4.5743 5.0308 90.00 90.00 90.00
Element x y z (fractional)
Zr  0.0000  0.0000  0.0000
Cr  0.0000  0.5000  0.5000
Cr  0.5000  0.0000  0.5000
In  0.5000  0.5000  0.0000
Ge  0.5000  0.5000  0.5000